# 1
Material: MnSbIN2
Method: DFT, PBE-GGA
State: relaxed

Results
- Calculated total energy: -24.849 eV per cell
- Formation energy from raw total energies: 1329 meV per atom
- Crystal system: tetragonal
- Distance to the lowest polymorph of the same formula: 0.25 eV per formula unit

Unit cell a=4.0612 b=4.0612 c=6.8693 alpha=90.00 beta=90.00 gamma=90.00
Sites, in units of the cell vectors:
Mn 0.0000 0.0000 0.0000
Sb 0.5000 0.5000 0.5000
I 0.5000 0.5000 0.0000
N 0.0000 0.5000 0.5000
N 0.5000 0.0000 0.5000

# 2
Material: Ba12Bi3S5
Method: DFT, PBE-GGA
State: relaxed

Results
- Calculated total energy: -319.547 eV per cell
- Formation energy from raw total energies: -1227 meV per atom
- Crystal system: cubic

Unit cell a=16.8499 b=16.8499 c=16.8499 alpha=109.47 beta=109.47 gamma=109.47
Sites, in units of the cell vectors:
Ba 0.0355 0.2120 0.1266
Ba 0.0355 0.3235 0.9089
Ba 0.0854 0.7120 0.6765
Ba 0.0854 0.8734 0.4089
Ba 0.0911 0.6266 0.4146
Ba 0.0911 0.9645 0.6765
Ba 0.1266 0.0355 0.2120
Ba 0.1266 0.5911 0.9146
Ba 0.1765 0.2120 0.5854
Ba 0.1765 0.4645 0.5911
Ba 0.2120 0.1266 0.0355
Ba 0.2120 0.5854 0.1765
Ba 0.2880 0.3235 0.9146
Ba 0.2880 0.4645 0.3734
Ba 0.3235 0.9089 0.0355
Ba 0.3235 0.9146 0.2880
Ba 0.3734 0.2880 0.4645
Ba 0.3734 0.5854 0.9089
Ba 0.4089 0.0854 0.8734
Ba 0.4089 0.8235 0.5355
Ba 0.4146 0.0911 0.6266
Ba 0.4146 0.8235 0.7880
Ba 0.4645 0.3734 0.2880
Ba 0.4645 0.5911 0.1765
Ba 0.5355 0.4089 0.8235
Ba 0.5355 0.6266 0.7120
Ba 0.5854 0.1765 0.2120
Ba 0.5854 0.9089 0.3734
Ba 0.5911 0.1765 0.4645
Ba 0.5911 0.9146 0.1266
Ba 0.6266 0.4146 0.0911
Ba 0.6266 0.7120 0.5355
Ba 0.6765 0.0854 0.7120
Ba 0.6765 0.0911 0.9645
Ba 0.7120 0.5355 0.6266
Ba 0.7120 0.6765 0.0854
Ba 0.7880 0.4146 0.8235
Ba 0.7880 0.8734 0.9645
Ba 0.8235 0.5355 0.4089
Ba 0.8235 0.7880 0.4146
Ba 0.8734 0.4089 0.0854
Ba 0.8734 0.9645 0.7880
Ba 0.9089 0.0355 0.3235
Ba 0.9089 0.3734 0.5854
Ba 0.9146 0.1266 0.5911
Ba 0.9146 0.2880 0.3235
Ba 0.9645 0.6765 0.0911
Ba 0.9645 0.7880 0.8734
Bi 0.1250 0.2500 0.3750
Bi 0.1250 0.3750 0.7500
Bi 0.2500 0.3750 0.1250
Bi 0.2500 0.8750 0.6250
Bi 0.3750 0.1250 0.2500
Bi 0.3750 0.7500 0.1250
Bi 0.6250 0.2500 0.8750
Bi 0.6250 0.8750 0.7500
Bi 0.7500 0.1250 0.3750
Bi 0.7500 0.6250 0.8750
Bi 0.8750 0.6250 0.2500
Bi 0.8750 0.7500 0.6250
S 0.0000 0.0000 0.0000
S 0.0000 0.0000 0.5000
S 0.0000 0.5000 0.0000
S 0.0000 0.5000 0.5000
S 0.1250 0.7500 0.8750
S 0.1250 0.8750 0.2500
S 0.2500 0.1250 0.8750
S 0.2500 0.6250 0.3750
S 0.3750 0.2500 0.6250
S 0.3750 0.6250 0.7500
S 0.5000 0.0000 0.0000
S 0.5000 0.0000 0.5000
S 0.5000 0.5000 0.0000
S 0.5000 0.5000 0.5000
S 0.6250 0.3750 0.2500
S 0.6250 0.7500 0.3750
S 0.7500 0.3750 0.6250
S 0.7500 0.8750 0.1250
S 0.8750 0.1250 0.7500
S 0.8750 0.2500 0.1250

# 3
Material: La5CeO6
Method: DFT, PBE-GGA
State: relaxed

Results
- Calculated total energy: -94.575 eV per cell
- Formation energy from raw total energies: -2855 meV per atom
- Crystal system: monoclinic

Unit cell a=6.2851 b=6.2851 c=6.2845 alpha=99.64 beta=99.64 gamma=120.02
Sites, in units of the cell vectors:
La 0.0000 0.0000 0.0000
La 0.1664 0.8336 0.5000
La 0.3324 0.6676 0.0000
La 0.6676 0.3324 0.0000
La 0.8336 0.1664 0.5000
Ce 0.5000 0.5000 0.5000
O 0.0950 0.4202 0.2589
O 0.2573 0.2573 0.7453
O 0.4202 0.0950 0.2589
O 0.5798 0.9050 0.7411
O 0.7427 0.7427 0.2547
O 0.9050 0.5798 0.7411

# 4
Material: Cs2CdP2O6
Method: DFT, PBE-GGA
State: relaxed

Results
- Calculated total energy: -64.559 eV per cell
- Formation energy from raw total energies: -1943 meV per atom
- Crystal system: trigonal

Unit cell a=6.7403 b=6.7403 c=6.7403 alpha=53.37 beta=53.37 gamma=53.37
Sites, in units of the cell vectors:
Cs 0.2265 0.2265 0.2265
Cs 0.7735 0.7735 0.7735
Cd 0.0000 0.0000 0.0000
P 0.4347 0.4347 0.4347
P 0.5653 0.5653 0.5653
O 0.2678 0.2678 0.6948
O 0.2678 0.6948 0.2678
O 0.3052 0.7322 0.7322
O 0.6948 0.2678 0.2678
O 0.7322 0.3052 0.7322
O 0.7322 0.7322 0.3052

# 5
Material: Hf4Au2N
Method: DFT, PBE-GGA
State: relaxed

Results
- Calculated total energy: -119.667 eV per cell
- Formation energy from raw total energies: -734 meV per atom
- Crystal system: tetragonal
- Distance to the lowest polymorph of the same formula: 0.00 eV per formula unit

Unit cell a=4.3476 b=4.3476 c=13.9667 alpha=90.00 beta=90.00 gamma=90.00
Sites, in units of the cell vectors:
Hf 0.0000 0.0000 0.1720
Hf 0.0000 0.0000 0.8280
Hf 0.0000 0.5000 0.0000
Hf 0.0000 0.5000 0.5000
Hf 0.5000 0.0000 0.0000
Hf 0.5000 0.0000 0.5000
Hf 0.5000 0.5000 0.3280
Hf 0.5000 0.5000 0.6720
Au 0.0000 0.0000 0.3646
Au 0.0000 0.0000 0.6354
Au 0.5000 0.5000 0.1354
Au 0.5000 0.5000 0.8646
N 0.0000 0.0000 0.0000
N 0.5000 0.5000 0.5000

# 6
Material: MgSc4Al
Method: DFT, PBE-GGA
State: relaxed

Results
- Calculated total energy: -30.394 eV per cell
- Crystal system: orthorhombic
- Formation energy from the elements: 0.045 eV/atom
- Distance to the lowest polymorph of the same formula: 0.00 eV per formula unit

Unit cell a=3.1741 b=5.2174 c=8.5979 alpha=90.00 beta=90.00 gamma=90.00
Sites, in units of the cell vectors:
Mg 0.0000 0.0000 0.0000
Sc 0.0000 0.5000 0.2031
Sc 0.0000 0.5000 0.7969
Sc 0.5000 0.0000 0.3160
Sc 0.5000 0.0000 0.6840
Al 0.5000 0.5000 0.5000